# TcAsAuSe2 (GGA-PBEsol, relaxed)
data_TcAsAuSe2
_cell_length_a 5.010
_cell_length_b 5.010
_cell_length_c 4.845
_cell_angle_alpha 90.00
_cell_angle_beta 90.00
_cell_angle_gamma 90.00
_symmetry_space_group_name_H-M 'P 1'
_symmetry_Int_Tables_number 1
loop_
_symmetry_equiv_pos_as_xyz
'x,y,z'
loop_
_atom_site_label
_atom_site_type_symbol
_atom_site_fract_x
_atom_site_fract_y
_atom_site_fract_z
Tc1 Tc 0.000 0.000 0.000
As1 As 0.500 0.500 0.000
Au1 Au 0.500 0.500 0.500
Se1 Se 0.000 0.500 0.500
Se2 Se 0.500 0.000 0.500
# V   122 Å³/f.u.
# Crystal system   tetragonal
# DOS at the Fermi energy   4.21 states/eV/f.u.
# Formation energy without anion corrections   1340.7 meV/atom
# Energy   -4.259 eV/atom



# Te2AsAuSe (GGA-PBEsol, relaxed)
data_Te2AsAuSe
_cell_length_a 5.420
_cell_length_b 5.420
_cell_length_c 4.698
_cell_angle_alpha 90.00
_cell_angle_beta 90.00
_cell_angle_gamma 90.00
_symmetry_space_group_name_H-M 'P 1'
_symmetry_Int_Tables_number 1
loop_
_symmetry_equiv_pos_as_xyz
'x,y,z'
loop_
_atom_site_label
_atom_site_type_symbol
_atom_site_fract_x
_atom_site_fract_y
_atom_site_fract_z
Te1 Te 0.000 0.500 0.000
Te2 Te 0.500 0.000 0.000
As1 As 0.000 0.000 0.000
Au1 Au 0.000 0.000 0.500
Se1 Se 0.500 0.500 0.500
# V   138 Å³/f.u.
# Crystal system   tetragonal
# DOS at the Fermi energy   3.81 states/eV/f.u.
# Formation energy without anion corrections   636.5 meV/atom
# Energy   -3.350 eV/atom



The highest V belongs to which entry?
Te2AsAuSe